## PmHo4Hg (PBE)

Data for an optimized crystal structure of PmHo4Hg.

Output
The density of states at the Fermi level comes out at 8.49 states/eV/f.u. Its formation energy is -0.85 eV/f.u. The calculation puts the electronic total energy at -24.213 eV/cell.

Unit cell a=3.5770 b=3.5770 c=14.0009 alpha=90.00 beta=90.00 gamma=90.00
Closest atoms and distances in Å follow each position.
Space group P4/mmm (No. 123)
Inequivalent atoms, fractional coordinates:
Pm: 0.0000 0.0000 0.0000 (multiplicity 1)  8 Ho 3.57, 4 Pm 3.58
Ho: 0.0000 0.0000 0.3577 (multiplicity 2)  4 Hg 3.22, 8 Ho 3.55-3.58
Ho: 0.5000 0.5000 0.1802 (multiplicity 2)  8 Ho 3.55-3.58, 4 Pm 3.57
Hg: 0.5000 0.5000 0.5000 (multiplicity 1)  8 Ho 3.22, 4 Hg 3.58

=====

## Th4PH3Rh12 (PBE)

Data for an optimized crystal structure of Th4PH3Rh12.

Output
The density of states at the Fermi level comes out at 17.26 states/eV/f.u. The calculation puts the electronic total energy at -297.506 eV/cell.

Unit cell a=8.4728 b=8.4728 c=8.4728 alpha=90.00 beta=90.00 gamma=90.00
Closest atoms and distances in Å follow each position.
Space group Im-3m (No. 229)
Inequivalent atoms, fractional coordinates:
Th: 0.2500 0.2500 0.2500 (multiplicity 8)  12 Rh 3.00
P: 0.0000 0.0000 0.0000 (multiplicity 2)  6 Rh 2.26
H: 0.0000 0.0000 0.5000 (multiplicity 6)  6 Rh 1.97-2.12
Rh: 0.0000 0.0000 0.2671 (multiplicity 12)  1 H 1.97
Rh: 0.0000 0.2500 0.5000 (multiplicity 12)  2 H 2.12

=====

## LiZrCd2 (PBE)

Data for an optimized crystal structure of LiZrCd2.

Output
The density of states at the Fermi level comes out at 1.78 states/eV/f.u. Its formation energy is -0.45 eV/f.u. The calculation puts the electronic total energy at -12.739 eV/cell. The relative energy among the computed polymorphs is 0.060 eV per atom.

Unit cell a=3.0193 b=5.0828 c=5.4267 alpha=90.00 beta=90.01 gamma=90.00
Closest atoms and distances in Å follow each position.
Space group Pm (No. 6)
Inequivalent atoms, fractional coordinates:
Li: 0.0000 0.0000 0.0000 (multiplicity 1)  8 Cd 3.01-3.20, 2 Li 3.02, 2 Zr 3.29
Zr: 0.9982 0.5000 0.3837 (multiplicity 1)  2 Zr 3.02, 8 Cd 3.05-3.11, 2 Li 3.29
Cd: 0.4985 0.0000 0.5188 (multiplicity 1)  4 Li 3.01-3.20, 4 Cd 3.02-3.22, 4 Zr 3.05
Cd: 0.4987 0.5000 0.8840 (multiplicity 1)  4 Cd 3.02-3.22, 4 Li 3.02, 4 Zr 3.10-3.11

=====

## ZrFeNi2 (PBE)

Data for an optimized crystal structure of ZrFeNi2.

Output
The density of states at the Fermi level comes out at 3.70 states/eV/f.u. Its formation energy is -0.33 eV/f.u. The calculation puts the electronic total energy at -28.904 eV/cell.

Unit cell a=3.2280 b=3.8224 c=4.9630 alpha=90.00 beta=108.43 gamma=90.00
Closest atoms and distances in Å follow each position.
Space group Pm (No. 6)
Inequivalent atoms, fractional coordinates:
Zr: 0.0000 0.0000 0.0000 (multiplicity 1)  7 Ni 2.50-2.74
Fe: 0.7116 0.5000 0.4130 (multiplicity 1)  7 Ni 2.55-2.68
Ni: 0.2737 0.0000 0.5301 (multiplicity 1)  2 Ni 2.42, 1 Zr 2.50, 4 Fe 2.55-2.57
Ni: 0.4239 0.5000 0.8438 (multiplicity 1)  2 Ni 2.42, 3 Fe 2.59-2.68, 4 Zr 2.61

=====

## HoAl3Au3 (PBE)

Data for an optimized crystal structure of HoAl3Au3.

Output
The density of states at the Fermi level comes out at 2.36 states/eV/f.u. Its formation energy is -4.15 eV/f.u. The calculation puts the electronic total energy at -59.568 eV/cell. The relative energy among the computed polymorphs is 0.000 eV per atom.

Unit cell a=6.9817 b=4.4474 c=8.9444 alpha=90.00 beta=107.00 gamma=90.00
Closest atoms and distances in Å follow each position.
Space group P2_1/m (No. 11)
Inequivalent atoms, fractional coordinates:
Ho: 0.1555 0.2500 0.2981 (multiplicity 2)  5 Au 2.98-3.19, 6 Al 3.17-3.28
Al: 0.1043 0.2500 0.9234 (multiplicity 2)  4 Au 2.57-2.66, 1 Al 2.87
Al: 0.4886 0.2500 0.6626 (multiplicity 2)  5 Au 2.54-2.72
Al: 0.4920 0.7500 0.8728 (multiplicity 2)  4 Au 2.58-2.75, 1 Al 2.87
Au: 0.0902 0.2500 0.6332 (multiplicity 2)  2 Al 2.57-2.72
Au: 0.2675 0.7500 0.0560 (multiplicity 2)  7 Al 2.58-2.75
Au: 0.3292 0.7500 0.5587 (multiplicity 2)  4 Al 2.54-2.70

=====

## TbDyRuAu (PBE)

Data for an optimized crystal structure of TbDyRuAu.

Output
The density of states at the Fermi level comes out at 2.42 states/eV/f.u. Its formation energy is -2.57 eV/f.u. The calculation puts the electronic total energy at -24.360 eV/cell. The relative energy among the computed polymorphs is 0.000 eV per atom.

Unit cell a=3.4454 b=3.4454 c=7.2919 alpha=90.00 beta=90.00 gamma=90.00
Closest atoms and distances in Å follow each position.
Space group P4mm (No. 99)
Inequivalent atoms, fractional coordinates:
Tb: 0.0000 0.0000 0.0000 (multiplicity 1)  4 Ru 2.97, 4 Au 3.14
Dy: 0.0000 0.0000 0.5389 (multiplicity 1)  4 Ru 2.95, 4 Au 3.12
Ru: 0.5000 0.5000 0.7682 (multiplicity 1)  4 Dy 2.95, 4 Tb 2.97
Au: 0.5000 0.5000 0.2720 (multiplicity 1)  4 Dy 3.12, 4 Tb 3.14, 4 Au 3.45

=====

## Ca2InCo (PBE)

Data for an optimized crystal structure of Ca2InCo.

Output
The density of states at the Fermi level comes out at 5.02 states/eV/f.u. Its formation energy is 0.53 eV/f.u. The calculation puts the electronic total energy at -53.253 eV/cell.

Unit cell a=7.1339 b=7.1339 c=7.1339 alpha=90.00 beta=90.00 gamma=90.00
Closest atoms and distances in Å follow each position.
Space group F-43m (No. 216)
Inequivalent atoms, fractional coordinates:
Ca: 0.0000 0.0000 0.0000 (multiplicity 4)  4 In 3.09, 4 Ca 3.09
Ca: 0.2500 0.2500 0.2500 (multiplicity 4)  4 Co 3.09, 4 Ca 3.09
In: 0.2500 0.2500 0.7500 (multiplicity 4)  4 Co 3.09, 4 Ca 3.09
Co: 0.0000 0.0000 0.5000 (multiplicity 4)  4 Ca 3.09, 4 In 3.09

=====

## TlB4Se7 (PBE)

Data for an optimized crystal structure of TlB4Se7.

Output
The density of states at the Fermi level comes out at 7.26 states/eV/f.u. The calculation puts the electronic total energy at -109.573 eV/cell.

Unit cell a=14.2276 b=5.9288 c=5.6611 alpha=90.00 beta=90.00 gamma=90.00
Closest atoms and distances in Å follow each position.
Space group Pmn2_1 (No. 31)
Inequivalent atoms, fractional coordinates:
Tl: 0.0000 0.1743 0.0000 (multiplicity 2)  9 Se 3.28-3.66
B: 0.1245 0.6667 0.6514 (multiplicity 4)  4 Se 2.05-2.11
B: 0.2484 0.1722 0.6329 (multiplicity 4)  4 Se 2.05-2.16
Se: 0.0000 0.8153 0.5304 (multiplicity 2)  2 B 2.09
Se: 0.1251 0.7093 0.0142 (multiplicity 4)  2 B 2.05-2.07
Se: 0.1269 0.3368 0.5414 (multiplicity 4)  2 B 2.05
Se: 0.2428 0.8362 0.5145 (multiplicity 4)  3 B 2.10-2.16